# 1
The following is a DFT calculation (PBE) of crystalline Na2Li2F at its relaxed geometry.

Results
**Relative energy among the computed polymorphs**: 46 meV/atom
**Uncorrected formation energy**: -770 meV/atom
**Theoretical density**: 1.3 g/cm3
**M_tot**: 0.00 μB/cell
**DOS at the Fermi energy**: 1.7 states/eV/f.u.

```
data_Na2Li2F
_chemical_formula_sum 'Na2 Li2 F1'
_cell_length_a 3.394
_cell_length_b 3.394
_cell_length_c 9.009
_cell_angle_alpha 79.14
_cell_angle_beta 79.14
_cell_angle_gamma 90.00
_space_group_name_H-M_alt 'P 1'
_space_group_IT_number 1
loop_
_space_group_symop_operation_xyz
'x,y,z'
loop_
_atom_site_label
_atom_site_fract_x
_atom_site_fract_y
_atom_site_fract_z
_atom_site_occupancy
Li1 0.250 0.750 0.500 1
Li2 0.750 0.250 0.500 1
F1 0.000 0.000 0.000 1
Na1 0.582 0.582 0.837 1
Na2 0.418 0.418 0.163 1
```

# 2
The following is a DFT calculation (PBE) of crystalline NaLi3F at its relaxed geometry.

Results
**Relative energy among the computed polymorphs**: 921 meV/atom
**Uncorrected formation energy**: 7 meV/atom
**Theoretical density**: 0.7 g/cm3
**M_tot**: 0.00 μB/cell
**DOS at the Fermi energy**: 3.1 states/eV/f.u.

```
data_NaLi3F
_chemical_formula_sum 'Na1 Li3 F1'
_cell_length_a 5.262
_cell_length_b 5.262
_cell_length_c 5.262
_cell_angle_alpha 90.00
_cell_angle_beta 90.00
_cell_angle_gamma 90.00
_space_group_name_H-M_alt 'P 1'
_space_group_IT_number 1
loop_
_space_group_symop_operation_xyz
'x,y,z'
loop_
_atom_site_label
_atom_site_fract_x
_atom_site_fract_y
_atom_site_fract_z
_atom_site_occupancy
F1 0.500 0.500 0.500 1
Li1 0.000 0.000 0.500 1
Li2 0.000 0.500 0.000 1
Li3 0.500 0.000 0.000 1
Na1 0.000 0.000 0.000 1
```

# 3
The following is a DFT calculation (PBE) of crystalline NaLi4F6 at its relaxed geometry.

Results
**Uncorrected formation energy**: -2598 meV/atom
**Theoretical density**: 2.5 g/cm3
**M_tot**: 2.19 μB/cell
**DOS at the Fermi energy**: 9.4 states/eV/f.u.

```
data_NaLi4F6
_chemical_formula_sum 'Na2 Li8 F12'
_cell_length_a 2.920
_cell_length_b 5.151
_cell_length_c 14.979
_cell_angle_alpha 90.00
_cell_angle_beta 90.00
_cell_angle_gamma 106.46
_space_group_name_H-M_alt 'P 1'
_space_group_IT_number 1
loop_
_space_group_symop_operation_xyz
'x,y,z'
loop_
_atom_site_label
_atom_site_fract_x
_atom_site_fract_y
_atom_site_fract_z
_atom_site_occupancy
Li1 0.603 0.205 0.629 1
Li2 0.863 0.726 0.543 1
Li3 0.863 0.726 0.957 1
Li4 0.397 0.795 0.371 1
Li5 0.137 0.274 0.457 1
Li6 0.603 0.205 0.871 1
Li7 0.397 0.795 0.129 1
Li8 0.137 0.274 0.043 1
F1 0.968 0.937 0.846 1
F2 0.032 0.063 0.346 1
F3 0.500 0.000 0.000 1
F4 0.229 0.459 0.578 1
F5 0.680 0.361 0.750 1
F6 0.968 0.937 0.654 1
F7 0.771 0.541 0.078 1
F8 0.229 0.459 0.922 1
F9 0.320 0.639 0.250 1
F10 0.771 0.541 0.422 1
F11 0.032 0.063 0.154 1
F12 0.500 0.000 0.500 1
Na1 0.642 0.284 0.250 1
Na2 0.358 0.716 0.750 1
```

# 4
The following is a DFT calculation (PBE) of crystalline Na3LiF at its relaxed geometry.

Results
**Relative energy among the computed polymorphs**: 0 meV/atom
**Uncorrected formation energy**: -931 meV/atom
**Theoretical density**: 1.3 g/cm3
**M_tot**: 0.00 μB/cell
**DOS at the Fermi energy**: 2.4 states/eV/f.u.

```
data_Na3LiF
_chemical_formula_sum 'Na3 Li1 F1'
_cell_length_a 4.906
_cell_length_b 4.906
_cell_length_c 4.906
_cell_angle_alpha 90.00
_cell_angle_beta 90.00
_cell_angle_gamma 90.00
_space_group_name_H-M_alt 'P 1'
_space_group_IT_number 1
loop_
_space_group_symop_operation_xyz
'x,y,z'
loop_
_atom_site_label
_atom_site_fract_x
_atom_site_fract_y
_atom_site_fract_z
_atom_site_occupancy
Li1 0.500 0.500 0.500 1
F1 0.000 0.000 0.000 1
Na1 0.000 0.500 0.000 1
Na2 0.500 0.000 0.000 1
Na3 0.000 0.000 0.500 1
```

# 5
The following is a DFT calculation (PBE) of crystalline Na5Li3F12 at its relaxed geometry.

Results
**Uncorrected formation energy**: -2096 meV/atom
**Theoretical density**: 2.2 g/cm3
**M_tot**: 16.00 μB/cell
**DOS at the Fermi energy**: 11.1 states/eV/f.u.

```
data_Na5Li3F12
_chemical_formula_sum 'Na20 Li12 F48'
_cell_length_a 11.218
_cell_length_b 11.218
_cell_length_c 11.218
_cell_angle_alpha 109.47
_cell_angle_beta 109.47
_cell_angle_gamma 109.47
_space_group_name_H-M_alt 'P 1'
_space_group_IT_number 1
loop_
_space_group_symop_operation_xyz
'x,y,z'
loop_
_atom_site_label
_atom_site_fract_x
_atom_site_fract_y
_atom_site_fract_z
_atom_site_occupancy
F1 0.953 0.132 0.885 1
F2 0.322 0.568 0.453 1
F3 0.385 0.932 0.753 1
F4 0.678 0.247 0.632 1
F5 0.247 0.678 0.132 1
F6 0.132 0.178 0.247 1
F7 0.432 0.753 0.885 1
F8 0.885 0.253 0.432 1
F9 0.115 0.747 0.568 1
F10 0.047 0.178 0.432 1
F11 0.747 0.115 0.068 1
F12 0.753 0.432 0.385 1
F13 0.822 0.868 0.253 1
F14 0.322 0.753 0.368 1
F15 0.068 0.453 0.822 1
F16 0.368 0.115 0.547 1
F17 0.547 0.932 0.678 1
F18 0.132 0.953 0.385 1
F19 0.932 0.385 0.253 1
F20 0.047 0.868 0.115 1
F21 0.868 0.047 0.615 1
F22 0.568 0.247 0.115 1
F23 0.453 0.385 0.632 1
F24 0.753 0.322 0.868 1
F25 0.885 0.632 0.953 1
F26 0.385 0.453 0.132 1
F27 0.632 0.885 0.453 1
F28 0.932 0.547 0.178 1
F29 0.178 0.132 0.747 1
F30 0.068 0.615 0.747 1
F31 0.822 0.953 0.068 1
F32 0.568 0.322 0.953 1
F33 0.453 0.068 0.322 1
F34 0.247 0.568 0.615 1
F35 0.547 0.615 0.368 1
F36 0.678 0.432 0.547 1
F37 0.432 0.678 0.047 1
F38 0.953 0.822 0.568 1
F39 0.368 0.253 0.322 1
F40 0.868 0.822 0.753 1
F41 0.115 0.368 0.047 1
F42 0.178 0.047 0.932 1
F43 0.632 0.747 0.678 1
F44 0.747 0.632 0.178 1
F45 0.615 0.068 0.247 1
F46 0.615 0.547 0.868 1
F47 0.253 0.368 0.822 1
F48 0.253 0.885 0.932 1
Li1 0.625 0.250 0.375 1
Li2 0.750 0.375 0.125 1
Li3 0.750 0.875 0.625 1
Li4 0.250 0.125 0.375 1
Li5 0.875 0.750 0.125 1
Li6 0.375 0.750 0.625 1
Li7 0.250 0.625 0.875 1
Li8 0.375 0.625 0.250 1
Li9 0.125 0.875 0.750 1
Li10 0.625 0.375 0.750 1
Li11 0.125 0.250 0.875 1
Li12 0.875 0.125 0.250 1
Na1 0.750 0.125 0.875 1
Na2 0.000 0.500 0.500 1
Na3 0.250 0.375 0.625 1
Na4 0.625 0.875 0.250 1
Na5 0.500 0.000 0.500 1
Na6 0.000 0.500 0.000 1
Na7 0.125 0.750 0.375 1
Na8 0.500 0.500 0.000 1
Na9 0.750 0.625 0.375 1
Na10 0.625 0.750 0.875 1
Na11 0.875 0.250 0.625 1
Na12 0.125 0.375 0.250 1
Na13 0.500 0.500 0.500 1
Na14 0.000 0.000 0.000 1
Na15 0.375 0.125 0.750 1
Na16 0.000 0.000 0.500 1
Na17 0.375 0.250 0.125 1
Na18 0.875 0.625 0.750 1
Na19 0.250 0.875 0.125 1
Na20 0.500 0.000 0.000 1
```

# 6
The following is a DFT calculation (PBE) of crystalline Na2LiF2 at its relaxed geometry.

Results
**Uncorrected formation energy**: -2186 meV/atom
**Theoretical density**: 1.7 g/cm3
**M_tot**: 0.00 μB/cell
**DOS at the Fermi energy**: 0.6 states/eV/f.u.

```
data_Na2LiF2
_chemical_formula_sum 'Na8 Li4 F8'
_cell_length_a 5.505
_cell_length_b 5.892
_cell_length_c 11.207
_cell_angle_alpha 90.00
_cell_angle_beta 94.58
_cell_angle_gamma 90.00
_space_group_name_H-M_alt 'P 1'
_space_group_IT_number 1
loop_
_space_group_symop_operation_xyz
'x,y,z'
loop_
_atom_site_label
_atom_site_fract_x
_atom_site_fract_y
_atom_site_fract_z
_atom_site_occupancy
Na1 0.761 0.032 0.096 1
Na2 0.239 0.968 0.904 1
Na3 0.739 0.532 0.904 1
Na4 0.686 0.066 0.709 1
Na5 0.186 0.434 0.709 1
Na6 0.314 0.934 0.291 1
Na7 0.261 0.468 0.096 1
Na8 0.814 0.566 0.291 1
F1 0.825 0.874 0.558 1
F2 0.221 0.567 0.287 1
F3 0.279 0.067 0.713 1
F4 0.721 0.933 0.287 1
F5 0.175 0.126 0.442 1
F6 0.675 0.374 0.442 1
F7 0.779 0.433 0.713 1
F8 0.325 0.626 0.558 1
Li1 0.827 0.088 0.428 1
Li2 0.673 0.588 0.572 1
Li3 0.327 0.412 0.428 1
Li4 0.173 0.912 0.572 1
```

# 7
The following is a DFT calculation (PBE) of crystalline NaLiF3 at its relaxed geometry.

Results
**Relative energy among the computed polymorphs**: 414 meV/atom
**Uncorrected formation energy**: -1805 meV/atom
**Theoretical density**: 1.9 g/cm3
**M_tot**: 1.00 μB/cell
**DOS at the Fermi energy**: 12.0 states/eV/f.u.

```
data_NaLiF3
_chemical_formula_sum 'Na1 Li1 F3'
_cell_length_a 4.268
_cell_length_b 4.268
_cell_length_c 4.268
_cell_angle_alpha 90.00
_cell_angle_beta 90.00
_cell_angle_gamma 90.00
_space_group_name_H-M_alt 'P 1'
_space_group_IT_number 1
loop_
_space_group_symop_operation_xyz
'x,y,z'
loop_
_atom_site_label
_atom_site_fract_x
_atom_site_fract_y
_atom_site_fract_z
_atom_site_occupancy
F1 0.000 0.500 0.000 1
F2 0.500 0.000 0.000 1
F3 0.000 0.000 0.500 1
Li1 0.500 0.500 0.500 1
Na1 0.000 0.000 0.000 1
```

# 8
The following is a DFT calculation (PBE) of crystalline NaLiF2 at its relaxed geometry.

Results
**Relative energy among the computed polymorphs**: 3 meV/atom
**Uncorrected formation energy**: -2799 meV/atom
**Theoretical density**: 2.6 g/cm3
**M_tot**: 0.00 μB/cell
**DOS at the Fermi energy**: 0.0 states/eV/f.u.

```
data_NaLiF2
_chemical_formula_sum 'Na4 Li4 F8'
_cell_length_a 5.299
_cell_length_b 5.405
_cell_length_c 7.077
_cell_angle_alpha 105.61
_cell_angle_beta 105.03
_cell_angle_gamma 107.53
_space_group_name_H-M_alt 'P 1'
_space_group_IT_number 1
loop_
_space_group_symop_operation_xyz
'x,y,z'
loop_
_atom_site_label
_atom_site_fract_x
_atom_site_fract_y
_atom_site_fract_z
_atom_site_occupancy
Na1 0.686 0.936 0.873 1
Na2 0.314 0.064 0.127 1
Na3 0.061 0.811 0.623 1
Na4 0.939 0.189 0.377 1
Li1 0.810 0.560 0.120 1
Li2 0.190 0.440 0.880 1
Li3 0.423 0.673 0.346 1
Li4 0.577 0.327 0.654 1
F1 0.805 0.090 0.632 1
F2 0.438 0.216 0.876 1
F3 0.562 0.784 0.124 1
F4 0.195 0.910 0.368 1
F5 0.327 0.542 0.632 1
F6 0.061 0.340 0.124 1
F7 0.939 0.660 0.876 1
F8 0.673 0.458 0.368 1
```